--- A ---
# FeCuH2, optimized geometry, DFT PBE
# - spin magnetization (μB/f.u.) = 1.83
data_FeCuH2
_space_group_name_H-M_alt 'P 1'
_space_group_IT_number 1
_space_group_name_Hall 'P 1'
_cell_length_a 2.6392
_cell_length_b 2.6392
_cell_length_c 5.0443
_cell_angle_alpha 74.83
_cell_angle_beta 74.83
_cell_angle_gamma 60.00
loop_
_atom_site_label
_atom_site_type_symbol
_atom_site_fract_x
_atom_site_fract_y
_atom_site_fract_z
Fe1 Fe 0.6696 0.6696 0.9913
Cu1 Cu 0.4928 0.4928 0.5217
H1 H 0.0644 0.0644 0.8069
H2 H 0.2733 0.2733 0.1801

--- B ---
# FeCuH2, optimized geometry, DFT PBE
# - spin magnetization (μB/f.u.) = 2.43
data_FeCuH2
_space_group_name_H-M_alt 'P 1'
_space_group_IT_number 1
_space_group_name_Hall 'P 1'
_cell_length_a 3.9890
_cell_length_b 3.9890
_cell_length_c 4.8106
_cell_angle_alpha 65.51
_cell_angle_beta 65.51
_cell_angle_gamma 90.00
loop_
_atom_site_label
_atom_site_type_symbol
_atom_site_fract_x
_atom_site_fract_y
_atom_site_fract_z
H1 H 0.6162 0.1250 0.2500
H2 H 0.1338 0.6250 0.2500
H3 H 0.3750 0.3838 0.7500
H4 H 0.8750 0.8662 0.7500
Fe1 Fe 0.5000 0.5000 0.0000
Fe2 Fe 0.2500 0.7500 0.5000
Cu1 Cu 0.0000 0.0000 0.0000
Cu2 Cu 0.7500 0.2500 0.5000

What should be chosen as the least stable of them? Choose B.

--- A ---
# FeCuH2, optimized geometry, DFT PBE
# - spin magnetization (μB/f.u.) = 1.76
data_FeCuH2
_space_group_name_H-M_alt 'P 1'
_space_group_IT_number 1
_space_group_name_Hall 'P 1'
_cell_length_a 2.6993
_cell_length_b 2.6993
_cell_length_c 5.0059
_cell_angle_alpha 74.36
_cell_angle_beta 74.36
_cell_angle_gamma 60.00
loop_
_atom_site_label
_atom_site_type_symbol
_atom_site_fract_x
_atom_site_fract_y
_atom_site_fract_z
H1 H 0.1170 0.1170 0.6491
H2 H 0.8830 0.8830 0.3509
Fe1 Fe 0.5000 0.5000 0.5000
Cu1 Cu 0.0000 0.0000 0.0000

--- B ---
# FeCuH2, optimized geometry, DFT PBE
# - spin magnetization (μB/f.u.) = 2.48
data_FeCuH2
_space_group_name_H-M_alt 'P 1'
_space_group_IT_number 1
_space_group_name_Hall 'P 1'
_cell_length_a 3.4863
_cell_length_b 3.4863
_cell_length_c 3.4863
_cell_angle_alpha 60.00
_cell_angle_beta 60.00
_cell_angle_gamma 60.00
loop_
_atom_site_label
_atom_site_type_symbol
_atom_site_fract_x
_atom_site_fract_y
_atom_site_fract_z
H1 H 0.2500 0.2500 0.2500
H2 H 0.7500 0.7500 0.7500
Fe1 Fe 0.0000 0.0000 0.0000
Cu1 Cu 0.5000 0.5000 0.5000

What should be chosen as the least stable of them? Choose B.

--- A ---
# FeCu2H2, optimized geometry, DFT PBE
# - spin magnetization (μB/f.u.) = 1.89
data_FeCu2H2
_space_group_name_H-M_alt 'P 1'
_space_group_IT_number 1
_space_group_name_Hall 'P 1'
_cell_length_a 4.8588
_cell_length_b 4.8588
_cell_length_c 3.6924
_cell_angle_alpha 90.00
_cell_angle_beta 90.00
_cell_angle_gamma 90.00
loop_
_atom_site_label
_atom_site_type_symbol
_atom_site_fract_x
_atom_site_fract_y
_atom_site_fract_z
H1 H 0.1950 0.6950 0.0000
H2 H 0.6950 0.8050 0.0000
H3 H 0.8050 0.3050 0.0000
H4 H 0.3050 0.1950 0.0000
Fe1 Fe 0.0000 0.0000 0.0000
Fe2 Fe 0.5000 0.5000 0.0000
Cu1 Cu 0.1867 0.6867 0.5000
Cu2 Cu 0.6867 0.8133 0.5000
Cu3 Cu 0.8133 0.3133 0.5000
Cu4 Cu 0.3133 0.1867 0.5000

--- B ---
# FeCu2H2, optimized geometry, DFT PBE
# - spin magnetization (μB/f.u.) = 2.90
data_FeCu2H2
_space_group_name_H-M_alt 'P 1'
_space_group_IT_number 1
_space_group_name_Hall 'P 1'
_cell_length_a 2.6836
_cell_length_b 2.6836
_cell_length_c 6.2884
_cell_angle_alpha 77.68
_cell_angle_beta 77.68
_cell_angle_gamma 90.00
loop_
_atom_site_label
_atom_site_type_symbol
_atom_site_fract_x
_atom_site_fract_y
_atom_site_fract_z
H1 H 0.7500 0.2500 0.5000
H2 H 0.2500 0.7500 0.5000
Fe1 Fe 0.0000 0.0000 0.0000
Cu1 Cu 0.3470 0.3470 0.3060
Cu2 Cu 0.6530 0.6530 0.6940

What should be chosen as the least stable of them? Choose B.

--- A ---
# FeCu3H, optimized geometry, DFT PBE
# - spin magnetization (μB/f.u.) = 2.74
data_FeCu3H
_space_group_name_H-M_alt 'P 1'
_space_group_IT_number 1
_space_group_name_Hall 'P 1'
_cell_length_a 3.7166
_cell_length_b 3.7166
_cell_length_c 3.7166
_cell_angle_alpha 90.00
_cell_angle_beta 90.00
_cell_angle_gamma 90.00
loop_
_atom_site_label
_atom_site_type_symbol
_atom_site_fract_x
_atom_site_fract_y
_atom_site_fract_z
H1 H 0.0000 0.0000 0.0000
Fe1 Fe 0.5000 0.5000 0.5000
Cu1 Cu 0.0000 0.5000 0.0000
Cu2 Cu 0.0000 0.0000 0.5000
Cu3 Cu 0.5000 0.0000 0.0000

--- B ---
# FeCu3H, optimized geometry, DFT PBE
# - spin magnetization (μB/f.u.) = 3.48
data_FeCu3H
_space_group_name_H-M_alt 'P 1'
_space_group_IT_number 1
_space_group_name_Hall 'P 1'
_cell_length_a 4.5033
_cell_length_b 4.5033
_cell_length_c 4.5033
_cell_angle_alpha 90.00
_cell_angle_beta 90.00
_cell_angle_gamma 90.00
loop_
_atom_site_label
_atom_site_type_symbol
_atom_site_fract_x
_atom_site_fract_y
_atom_site_fract_z
H1 H 0.5000 0.5000 0.5000
Fe1 Fe 0.0000 0.0000 0.0000
Cu1 Cu 0.0000 0.5000 0.0000
Cu2 Cu 0.0000 0.0000 0.5000
Cu3 Cu 0.5000 0.0000 0.0000

What should be chosen as the least stable of them? Choose B.

--- A ---
# FeCuH3, optimized geometry, DFT PBE
# - spin magnetization (μB/f.u.) = 2.82
data_FeCuH3
_space_group_name_H-M_alt 'P 1'
_space_group_IT_number 1
_space_group_name_Hall 'P 1'
_cell_length_a 3.3007
_cell_length_b 3.3007
_cell_length_c 3.3007
_cell_angle_alpha 90.00
_cell_angle_beta 90.00
_cell_angle_gamma 90.00
loop_
_atom_site_label
_atom_site_type_symbol
_atom_site_fract_x
_atom_site_fract_y
_atom_site_fract_z
H1 H 0.0000 0.5000 0.0000
H2 H 0.0000 0.0000 0.5000
H3 H 0.5000 0.0000 0.0000
Fe1 Fe 0.5000 0.5000 0.5000
Cu1 Cu 0.0000 0.0000 0.0000

--- B ---
# FeCuH3, optimized geometry, DFT PBE
# - spin magnetization (μB/f.u.) = 1.28
data_FeCuH3
_space_group_name_H-M_alt 'P 1'
_space_group_IT_number 1
_space_group_name_Hall 'P 1'
_cell_length_a 3.2091
_cell_length_b 3.2091
_cell_length_c 3.2091
_cell_angle_alpha 90.00
_cell_angle_beta 90.00
_cell_angle_gamma 90.00
loop_
_atom_site_label
_atom_site_type_symbol
_atom_site_fract_x
_atom_site_fract_y
_atom_site_fract_z
H1 H 0.0000 0.5000 0.0000
H2 H 0.0000 0.0000 0.5000
H3 H 0.5000 0.0000 0.0000
Fe1 Fe 0.0000 0.0000 0.0000
Cu1 Cu 0.5000 0.5000 0.5000

What should be chosen as the least stable of them? Choose A.

--- A ---
# Fe2CuH2, optimized geometry, DFT PBE
# - spin magnetization (μB/f.u.) = 4.56
data_Fe2CuH2
_space_group_name_H-M_alt 'P 1'
_space_group_IT_number 1
_space_group_name_Hall 'P 1'
_cell_length_a 5.5791
_cell_length_b 5.5791
_cell_length_c 2.5679
_cell_angle_alpha 90.00
_cell_angle_beta 90.00
_cell_angle_gamma 90.00
loop_
_atom_site_label
_atom_site_type_symbol
_atom_site_fract_x
_atom_site_fract_y
_atom_site_fract_z
H1 H 0.3411 0.8411 0.0000
H2 H 0.8411 0.6589 0.0000
H3 H 0.6589 0.1589 0.0000
H4 H 0.1589 0.3411 0.0000
Fe1 Fe 0.1510 0.6510 0.5000
Fe2 Fe 0.6510 0.8490 0.5000
Fe3 Fe 0.8490 0.3490 0.5000
Fe4 Fe 0.3490 0.1510 0.5000
Cu1 Cu 0.0000 0.0000 0.0000
Cu2 Cu 0.5000 0.5000 0.0000

--- B ---
# Fe2CuH2, optimized geometry, DFT PBE
# - spin magnetization (μB/f.u.) = 4.25
data_Fe2CuH2
_space_group_name_H-M_alt 'P 1'
_space_group_IT_number 1
_space_group_name_Hall 'P 1'
_cell_length_a 3.1723
_cell_length_b 3.1723
_cell_length_c 4.5955
_cell_angle_alpha 69.81
_cell_angle_beta 69.81
_cell_angle_gamma 90.00
loop_
_atom_site_label
_atom_site_type_symbol
_atom_site_fract_x
_atom_site_fract_y
_atom_site_fract_z
H1 H 0.7500 0.2500 0.5000
H2 H 0.2500 0.7500 0.5000
Fe1 Fe 0.3386 0.3386 0.3227
Fe2 Fe 0.6614 0.6614 0.6773
Cu1 Cu 0.0000 0.0000 0.0000

What should be chosen as the least stable of them? Choose A.

--- A ---
# MnFe2CuH, optimized geometry, DFT PBE
# - spin magnetization (μB/f.u.) = 8.02
data_MnFe2CuH
_space_group_name_H-M_alt 'P 1'
_space_group_IT_number 1
_space_group_name_Hall 'P 1'
_cell_length_a 3.5971
_cell_length_b 3.5971
_cell_length_c 3.9536
_cell_angle_alpha 90.00
_cell_angle_beta 90.00
_cell_angle_gamma 90.00
loop_
_atom_site_label
_atom_site_type_symbol
_atom_site_fract_x
_atom_site_fract_y
_atom_site_fract_z
H1 H 0.0000 0.0000 0.0000
Mn1 Mn 0.5000 0.5000 0.5000
Fe1 Fe 0.0000 0.5000 0.0000
Fe2 Fe 0.5000 0.0000 0.0000
Cu1 Cu 0.0000 0.0000 0.5000

--- B ---
# MnFe2CuH, optimized geometry, DFT PBE
# - spin magnetization (μB/f.u.) = 8.13
data_MnFe2CuH
_space_group_name_H-M_alt 'P 1'
_space_group_IT_number 1
_space_group_name_Hall 'P 1'
_cell_length_a 3.6309
_cell_length_b 3.6309
_cell_length_c 3.8696
_cell_angle_alpha 90.00
_cell_angle_beta 90.00
_cell_angle_gamma 90.00
loop_
_atom_site_label
_atom_site_type_symbol
_atom_site_fract_x
_atom_site_fract_y
_atom_site_fract_z
H1 H 0.0000 0.0000 0.0000
Mn1 Mn 0.0000 0.0000 0.5000
Fe1 Fe 0.0000 0.5000 0.0000
Fe2 Fe 0.5000 0.0000 0.0000
Cu1 Cu 0.5000 0.5000 0.5000

What should be chosen as the least stable of them? Choose A.

--- A ---
# Nb2FeCuH, optimized geometry, DFT PBE
# - spin magnetization (μB/f.u.) = 1.50
data_Nb2FeCuH
_space_group_name_H-M_alt 'P 1'
_space_group_IT_number 1
_space_group_name_Hall 'P 1'
_cell_length_a 4.0965
_cell_length_b 4.0965
_cell_length_c 3.7112
_cell_angle_alpha 90.00
_cell_angle_beta 90.00
_cell_angle_gamma 90.00
loop_
_atom_site_label
_atom_site_type_symbol
_atom_site_fract_x
_atom_site_fract_y
_atom_site_fract_z
H1 H 0.0000 0.0000 0.0000
Nb1 Nb 0.0000 0.5000 0.0000
Nb2 Nb 0.5000 0.0000 0.0000
Fe1 Fe 0.5000 0.5000 0.5000
Cu1 Cu 0.0000 0.0000 0.5000

--- B ---
# Nb2FeCuH, optimized geometry, DFT PBE
# - spin magnetization (μB/f.u.) = 1.42
data_Nb2FeCuH
_space_group_name_H-M_alt 'P 1'
_space_group_IT_number 1
_space_group_name_Hall 'P 1'
_cell_length_a 4.1054
_cell_length_b 4.1054
_cell_length_c 3.6845
_cell_angle_alpha 90.00
_cell_angle_beta 90.00
_cell_angle_gamma 90.00
loop_
_atom_site_label
_atom_site_type_symbol
_atom_site_fract_x
_atom_site_fract_y
_atom_site_fract_z
H1 H 0.0000 0.0000 0.0000
Nb1 Nb 0.0000 0.5000 0.0000
Nb2 Nb 0.5000 0.0000 0.0000
Fe1 Fe 0.0000 0.0000 0.5000
Cu1 Cu 0.5000 0.5000 0.5000

What should be chosen as the least stable of them? Choose A.

--- A ---
# FeCuHPd2, optimized geometry, DFT PBE
# - spin magnetization (μB/f.u.) = 3.78
data_FeCuHPd2
_space_group_name_H-M_alt 'P 1'
_space_group_IT_number 1
_space_group_name_Hall 'P 1'
_cell_length_a 4.0028
_cell_length_b 4.0028
_cell_length_c 3.6714
_cell_angle_alpha 90.00
_cell_angle_beta 90.00
_cell_angle_gamma 90.00
loop_
_atom_site_label
_atom_site_type_symbol
_atom_site_fract_x
_atom_site_fract_y
_atom_site_fract_z
H1 H 0.0000 0.0000 0.0000
Cu1 Cu 0.0000 0.0000 0.5000
Pd1 Pd 0.0000 0.5000 0.0000
Pd2 Pd 0.5000 0.0000 0.0000
Fe1 Fe 0.5000 0.5000 0.5000

--- B ---
# FeCuHPd2, optimized geometry, DFT PBE
# - spin magnetization (μB/f.u.) = 3.47
data_FeCuHPd2
_space_group_name_H-M_alt 'P 1'
_space_group_IT_number 1
_space_group_name_Hall 'P 1'
_cell_length_a 3.9592
_cell_length_b 3.9592
_cell_length_c 3.7330
_cell_angle_alpha 90.00
_cell_angle_beta 90.00
_cell_angle_gamma 90.00
loop_
_atom_site_label
_atom_site_type_symbol
_atom_site_fract_x
_atom_site_fract_y
_atom_site_fract_z
H1 H 0.0000 0.0000 0.0000
Cu1 Cu 0.5000 0.5000 0.5000
Pd1 Pd 0.0000 0.5000 0.0000
Pd2 Pd 0.5000 0.0000 0.0000
Fe1 Fe 0.0000 0.0000 0.5000

What should be chosen as the least stable of them? Choose A.

--- A ---
# Ta2FeCuH, optimized geometry, DFT PBE
# - spin magnetization (μB/f.u.) = 1.38
data_Ta2FeCuH
_space_group_name_H-M_alt 'P 1'
_space_group_IT_number 1
_space_group_name_Hall 'P 1'
_cell_length_a 4.1379
_cell_length_b 4.1379
_cell_length_c 3.5876
_cell_angle_alpha 90.00
_cell_angle_beta 90.00
_cell_angle_gamma 90.00
loop_
_atom_site_label
_atom_site_type_symbol
_atom_site_fract_x
_atom_site_fract_y
_atom_site_fract_z
H1 H 0.0000 0.0000 0.0000
Fe1 Fe 0.0000 0.0000 0.5000
Cu1 Cu 0.5000 0.5000 0.5000
Ta1 Ta 0.0000 0.5000 0.0000
Ta2 Ta 0.5000 0.0000 0.0000

--- B ---
# Ta2FeCuH, optimized geometry, DFT PBE
# - spin magnetization (μB/f.u.) = 1.33
data_Ta2FeCuH
_space_group_name_H-M_alt 'P 1'
_space_group_IT_number 1
_space_group_name_Hall 'P 1'
_cell_length_a 4.1198
_cell_length_b 4.1198
_cell_length_c 3.6322
_cell_angle_alpha 90.00
_cell_angle_beta 90.00
_cell_angle_gamma 90.00
loop_
_atom_site_label
_atom_site_type_symbol
_atom_site_fract_x
_atom_site_fract_y
_atom_site_fract_z
H1 H 0.0000 0.0000 0.0000
Fe1 Fe 0.5000 0.5000 0.5000
Cu1 Cu 0.0000 0.0000 0.5000
Ta1 Ta 0.0000 0.5000 0.0000
Ta2 Ta 0.5000 0.0000 0.0000

What should be chosen as the least stable of them? Choose B.

--- A ---
# V2FeCuH, optimized geometry, DFT PBE
# - spin magnetization (μB/f.u.) = 0.63
data_V2FeCuH
_space_group_name_H-M_alt 'P 1'
_space_group_IT_number 1
_space_group_name_Hall 'P 1'
_cell_length_a 3.7373
_cell_length_b 3.7373
_cell_length_c 3.6546
_cell_angle_alpha 90.00
_cell_angle_beta 90.00
_cell_angle_gamma 90.00
loop_
_atom_site_label
_atom_site_type_symbol
_atom_site_fract_x
_atom_site_fract_y
_atom_site_fract_z
H1 H 0.0000 0.0000 0.0000
Fe1 Fe 0.0000 0.0000 0.5000
Cu1 Cu 0.5000 0.5000 0.5000
V1 V 0.0000 0.5000 0.0000
V2 V 0.5000 0.0000 0.0000

--- B ---
# V2FeCuH, optimized geometry, DFT PBE
# - spin magnetization (μB/f.u.) = 0.99
data_V2FeCuH
_space_group_name_H-M_alt 'P 1'
_space_group_IT_number 1
_space_group_name_Hall 'P 1'
_cell_length_a 3.7327
_cell_length_b 3.7327
_cell_length_c 3.7067
_cell_angle_alpha 90.00
_cell_angle_beta 90.00
_cell_angle_gamma 90.00
loop_
_atom_site_label
_atom_site_type_symbol
_atom_site_fract_x
_atom_site_fract_y
_atom_site_fract_z
H1 H 0.0000 0.0000 0.0000
Fe1 Fe 0.5000 0.5000 0.5000
Cu1 Cu 0.0000 0.0000 0.5000
V1 V 0.0000 0.5000 0.0000
V2 V 0.5000 0.0000 0.0000

What should be chosen as the least stable of them? Choose B.

--- A ---
# ZnFe2CuH, optimized geometry, DFT PBE
# - spin magnetization (μB/f.u.) = 4.57
data_ZnFe2CuH
_space_group_name_H-M_alt 'P 1'
_space_group_IT_number 1
_space_group_name_Hall 'P 1'
_cell_length_a 3.6077
_cell_length_b 3.6077
_cell_length_c 3.9261
_cell_angle_alpha 90.00
_cell_angle_beta 90.00
_cell_angle_gamma 90.00
loop_
_atom_site_label
_atom_site_type_symbol
_atom_site_fract_x
_atom_site_fract_y
_atom_site_fract_z
H1 H 0.0000 0.0000 0.0000
Zn1 Zn 0.5000 0.5000 0.5000
Fe1 Fe 0.0000 0.5000 0.0000
Fe2 Fe 0.5000 0.0000 0.0000
Cu1 Cu 0.0000 0.0000 0.5000

--- B ---
# ZnFe2CuH, optimized geometry, DFT PBE
# - spin magnetization (μB/f.u.) = 4.61
data_ZnFe2CuH
_space_group_name_H-M_alt 'P 1'
_space_group_IT_number 1
_space_group_name_Hall 'P 1'
_cell_length_a 3.5784
_cell_length_b 3.5784
_cell_length_c 4.0219
_cell_angle_alpha 90.00
_cell_angle_beta 90.00
_cell_angle_gamma 90.00
loop_
_atom_site_label
_atom_site_type_symbol
_atom_site_fract_x
_atom_site_fract_y
_atom_site_fract_z
H1 H 0.0000 0.0000 0.0000
Zn1 Zn 0.0000 0.0000 0.5000
Fe1 Fe 0.0000 0.5000 0.0000
Fe2 Fe 0.5000 0.0000 0.0000
Cu1 Cu 0.5000 0.5000 0.5000

What should be chosen as the least stable of them? Choose B.